No. 1
This record from Alexandria via LeMat-Bulk describes crystalline ZrBi2Pd9 at its relaxed geometry. The functional is PBE-GGA.

Summary:
Its energy of formation is -0.425 eV/atom. As for the space group: P4/mmm (123).

Cell and atoms, written as POSCAR:
```
ZrBi2Pd9
1.0
4.102 0.000 0.000
0.000 4.102 0.000
0.000 0.000 12.344
Pd Bi Zr
9 2 1
Direct
0.000 0.500 0.843 Pd
0.000 0.500 0.157 Pd
0.500 0.000 0.157 Pd
0.500 0.000 0.500 Pd
0.000 0.500 0.500 Pd
0.500 0.500 0.000 Pd
0.500 0.500 0.329 Pd
0.500 0.500 0.671 Pd
0.500 0.000 0.843 Pd
0.000 0.000 0.668 Bi
0.000 0.000 0.332 Bi
0.000 0.000 0.000 Zr
```

No. 2
This record from Alexandria via LeMat-Bulk describes crystalline TbIn3Br6 at its relaxed geometry. The functional is PBE-GGA.

Summary:
The value obtained for the uncorrected formation energy is -1.154 eV per atom. As for the space group: P2_1/c (14).

Cell and atoms, written as POSCAR:
```
TbIn3Br6
1.0
-5.135 -4.390 -3.565
5.224 -6.905 0.978
-5.410 -2.745 9.516
Br Tb In
12 2 6
Direct
0.658 0.231 0.584 Br
0.690 0.164 0.959 Br
0.860 0.931 0.232 Br
0.640 0.431 0.268 Br
0.360 0.569 0.732 Br
0.810 0.664 0.541 Br
0.140 0.069 0.768 Br
0.190 0.336 0.459 Br
0.342 0.769 0.416 Br
0.158 0.269 0.084 Br
0.842 0.731 0.916 Br
0.310 0.836 0.041 Br
0.500 0.500 0.500 Tb
0.000 0.000 0.000 Tb
0.000 0.000 0.500 In
0.028 0.582 0.275 In
0.528 0.918 0.775 In
0.500 0.500 0.000 In
0.972 0.418 0.725 In
0.472 0.082 0.225 In
```

No. 3
This record from Alexandria via LeMat-Bulk describes crystalline BaFeGe2 at its relaxed geometry. The functional is PBE-GGA.

Summary:
Its energy of formation is 0.526 eV/atom. As for the space group: Fm-3m (225).

Cell and atoms, written as POSCAR:
```
BaFeGe2
1.0
0.000 3.503 3.503
3.503 0.000 3.503
3.503 3.503 0.000
Ge Ba Fe
2 1 1
Direct
0.750 0.750 0.750 Ge
0.250 0.250 0.250 Ge
0.500 0.500 0.500 Ba
0.000 0.000 0.000 Fe
```

No. 4
This record from Alexandria via LeMat-Bulk describes crystalline La6Tm2Th at its relaxed geometry. The functional is PBE-GGA.

Summary:
Its energy of formation is 0.105 eV/atom. As for the space group: C2/m (12).

Cell and atoms, written as POSCAR:
```
La6Tm2Th
1.0
3.636 0.596 -0.017
-0.690 8.845 -5.147
0.981 -0.901 10.170
La Tm Th
6 2 1
Direct
0.820 0.501 0.156 La
0.180 0.844 0.499 La
0.678 0.676 0.676 La
0.180 0.499 0.844 La
0.820 0.156 0.501 La
0.322 0.324 0.324 La
0.500 0.160 0.840 Tm
0.500 0.840 0.160 Tm
0.000 0.000 0.000 Th
```

No. 5
This record from Alexandria via LeMat-Bulk describes crystalline Ac3ErTm3Se8 at its relaxed geometry. The functional is PBE-GGA.

Summary:
The value obtained for the uncorrected formation energy is -1.828 eV per atom. As for the space group: R-3m (166).

Cell and atoms, written as POSCAR:
```
Ac3ErTm3Se8
1.0
8.278 0.000 0.000
-4.139 7.170 -0.026
0.000 -4.754 7.157
Se Ac Tm Er
8 3 3 1
Direct
0.756 0.022 0.278 Se
0.244 0.488 0.722 Se
0.756 0.512 0.278 Se
0.244 0.978 0.722 Se
0.261 0.523 0.284 Se
0.734 0.978 0.722 Se
0.266 0.022 0.278 Se
0.739 0.477 0.716 Se
0.000 0.000 0.000 Ac
0.000 0.500 0.000 Ac
0.500 0.500 0.000 Ac
0.500 0.000 0.500 Tm
0.500 0.500 0.500 Tm
0.000 0.500 0.500 Tm
0.000 0.000 0.500 Er
```

No. 6
This record from Alexandria via LeMat-Bulk describes crystalline TmH2Ir at its relaxed geometry. The functional is PBE-GGA.

Summary:
The total energy comes out at -5.487 eV/atom. As for the space group: R-3m (166).

Cell and atoms, written as POSCAR:
```
TmH2Ir
1.0
-1.095 -3.725 -0.248
2.149 -2.529 -2.031
2.372 -2.888 2.378
Tm H Ir
1 2 1
Direct
0.500 0.500 0.500 Tm
0.854 0.854 0.439 H
0.146 0.146 0.561 H
0.000 0.000 0.000 Ir
```

No. 7
This record from Alexandria via LeMat-Bulk describes crystalline Li3TcN4 at its relaxed geometry. The functional is PBE-GGA.

Summary:
The value obtained for the uncorrected formation energy is -0.169 eV per atom. As for the space group: C2 (5).

Cell and atoms, written as POSCAR:
```
Li3TcN4
1.0
3.069 -0.049 1.451
0.576 5.193 2.538
-0.986 0.634 5.690
Tc Li N
1 3 4
Direct
0.500 0.578 0.422 Tc
0.704 0.838 0.676 Li
0.000 0.954 0.046 Li
0.296 0.324 0.162 Li
0.394 0.194 0.722 N
0.263 0.894 0.409 N
0.606 0.278 0.806 N
0.737 0.591 0.106 N
```

No. 8
This record from Alexandria via LeMat-Bulk describes crystalline HfAl2Br2 at its relaxed geometry. The functional is PBE-GGA.

Summary:
The value obtained for the uncorrected formation energy is 0.211 eV per atom. As for the space group: P4/mbm (127).

Cell and atoms, written as POSCAR:
```
HfAl2Br2
1.0
-4.853 5.881 -2.790
-6.412 -3.718 3.314
0.469 1.746 2.866
Al Br Hf
4 4 2
Direct
0.801 0.301 0.500 Al
0.699 0.801 0.500 Al
0.199 0.699 0.500 Al
0.301 0.199 0.500 Al
0.866 0.634 0.000 Br
0.634 0.134 0.000 Br
0.366 0.866 0.000 Br
0.134 0.366 0.000 Br
0.500 0.500 0.000 Hf
0.000 0.000 0.000 Hf
```

No. 9
This record from Alexandria via LeMat-Bulk describes crystalline Mn2ZnPt2 at its relaxed geometry. The functional is PBE-GGA.

Summary:
Its energy of formation is -0.209 eV/atom. As for the space group: P4/mbm (127).

Cell and atoms, written as POSCAR:
```
Mn2ZnPt2
1.0
-3.140 -4.464 4.932
0.722 -5.651 -4.654
2.659 -0.604 1.146
Mn Pt Zn
4 4 2
Direct
0.344 0.156 0.500 Mn
0.656 0.844 0.500 Mn
0.156 0.656 0.500 Mn
0.844 0.344 0.500 Mn
0.142 0.358 0.000 Pt
0.642 0.142 0.000 Pt
0.358 0.858 0.000 Pt
0.858 0.642 0.000 Pt
0.500 0.500 0.000 Zn
0.000 0.000 0.000 Zn
```

No. 10
This record from Alexandria via LeMat-Bulk describes crystalline ZrBeSb2 at its relaxed geometry. The functional is PBE-GGA.

Summary:
The value obtained for the uncorrected formation energy is -0.034 eV per atom. As for the space group: Immm (71).

Cell and atoms, written as POSCAR:
```
ZrBeSb2
1.0
-2.808 -1.173 4.396
1.279 -4.985 1.448
2.310 4.764 -0.741
Be Zr Sb
1 1 2
Direct
0.250 0.750 0.500 Be
0.750 0.250 0.500 Zr
0.038 0.038 0.000 Sb
0.462 0.462 0.000 Sb
```

No. 11
This record from Alexandria via LeMat-Bulk describes crystalline Sc2CrHg2 at its relaxed geometry. The functional is PBE-GGA.

Summary:
Its energy of formation is -0.042 eV/atom. As for the space group: P4/mbm (127).

Cell and atoms, written as POSCAR:
```
Sc2CrHg2
1.0
-5.065 5.098 2.713
-5.267 -5.558 0.609
1.137 -0.701 3.439
Sc Hg Cr
4 4 2
Direct
0.167 0.667 0.500 Sc
0.333 0.167 0.500 Sc
0.833 0.333 0.500 Sc
0.667 0.833 0.500 Sc
0.863 0.637 0.000 Hg
0.363 0.863 0.000 Hg
0.637 0.137 0.000 Hg
0.137 0.363 0.000 Hg
0.500 0.500 0.000 Cr
0.000 0.000 0.000 Cr
```